No. 1
A plane-wave DFT calculation with PBE-GGA was carried out for a relaxed structure of ReOsRu2.

Calculated values
The value obtained for the energy above the lowest structure with this stoichiometry is 1417 meV per atom. The uncorrected energy comes out at -9.214 eV/atom. The density of states at the Fermi level is 0.912 states/eV/atom.

a b c (Å): 5.551 5.551 6.773
angles (deg): 65.81 65.81 90.00
Sites, in units of the cell vectors:
Re 0.500 0.500 0.000
Re 0.250 0.750 0.500
Ru 0.375 0.373 0.750
Ru 0.627 0.125 0.250
Ru 0.875 0.877 0.750
Ru 0.123 0.625 0.250
Os 0.000 0.000 0.000
Os 0.750 0.250 0.500


No. 2
A plane-wave DFT calculation with PBE-GGA was carried out for a relaxed structure of ReOs2Ru.

Calculated values
The value obtained for the energy above the lowest structure with this stoichiometry is 0 meV per atom. The uncorrected energy comes out at -11.111 eV/atom. The density of states at the Fermi level is 0.777 states/eV/atom.

a b c (Å): 4.364 2.751 4.772
angles (deg): 90.00 90.00 90.00
Sites, in units of the cell vectors:
Os 0.500 0.375 0.210
Os 0.000 0.875 0.045
Re 0.000 0.375 0.540
Ru 0.500 0.875 0.706


No. 3
A plane-wave DFT calculation with PBE-GGA was carried out for a relaxed structure of ReOs2Ru.

Calculated values
The value obtained for the energy above the lowest structure with this stoichiometry is 133 meV per atom. The uncorrected energy comes out at -10.978 eV/atom. The density of states at the Fermi level is 0.998 states/eV/atom.

a b c (Å): 4.723 4.723 4.723
angles (deg): 131.70 131.69 70.71
Sites, in units of the cell vectors:
Os 0.750 0.250 0.500
Os 0.000 0.000 0.000
Re 0.500 0.500 0.000
Ru 0.250 0.750 0.500


No. 4
A plane-wave DFT calculation with PBE-GGA was carried out for a relaxed structure of ReOs2Ru.

Calculated values
The value obtained for the energy above the lowest structure with this stoichiometry is 160 meV per atom. The uncorrected energy comes out at -10.950 eV/atom. The density of states at the Fermi level is 1.352 states/eV/atom.

a b c (Å): 2.734 2.734 7.711
angles (deg): 90.00 90.00 90.00
Sites, in units of the cell vectors:
Ru 0.500 0.500 0.750
Os 0.000 0.000 0.999
Os 0.000 0.000 0.501
Re 0.500 0.500 0.250


No. 5
A plane-wave DFT calculation with PBE-GGA was carried out for a relaxed structure of ReOsRu2.

Calculated values
The value obtained for the energy above the lowest structure with this stoichiometry is 455 meV per atom. The uncorrected energy comes out at -10.176 eV/atom. The density of states at the Fermi level is 1.049 states/eV/atom.

a b c (Å): 2.722 4.354 5.822
angles (deg): 111.96 103.52 90.00
Sites, in units of the cell vectors:
Os 0.519 0.519 0.037
Ru 0.794 0.294 0.587
Ru 0.957 0.957 0.913
Re 0.231 0.731 0.462


No. 6
A plane-wave DFT calculation with PBE-GGA was carried out for a relaxed structure of ReOsRu2.

Calculated values
The value obtained for the energy above the lowest structure with this stoichiometry is 145 meV per atom. The uncorrected energy comes out at -10.486 eV/atom. The density of states at the Fermi level is 1.097 states/eV/atom.

a b c (Å): 4.722 4.722 4.715
angles (deg): 80.52 80.52 33.52
Sites, in units of the cell vectors:
Os 0.250 0.250 0.250
Ru 0.999 0.999 0.000
Ru 0.501 0.501 0.500
Re 0.750 0.750 0.750


No. 7
A plane-wave DFT calculation with PBE-GGA was carried out for a relaxed structure of Re2OsRu.

Calculated values
The value obtained for the energy above the lowest structure with this stoichiometry is 122 meV per atom. The uncorrected energy comes out at -11.320 eV/atom. The density of states at the Fermi level is 0.797 states/eV/atom.

a b c (Å): 2.735 2.735 7.776
angles (deg): 90.00 90.00 90.00
Sites, in units of the cell vectors:
Re 0.000 0.000 0.499
Re 0.000 0.000 0.001
Ru 0.500 0.500 0.250
Os 0.500 0.500 0.750


No. 8
A plane-wave DFT calculation with PBE-GGA was carried out for a relaxed structure of Re2OsRu2.

Calculated values
The uncorrected energy comes out at -10.879 eV/atom. The density of states at the Fermi level is 1.234 states/eV/atom.

a b c (Å): 3.866 4.741 9.818
angles (deg): 61.40 78.68 65.95
Sites, in units of the cell vectors:
Ru 0.050 0.249 0.151
Ru 0.950 0.751 0.849
Ru 0.550 0.749 0.651
Ru 0.450 0.251 0.349
Os 0.250 0.250 0.750
Os 0.750 0.750 0.250
Re 0.150 0.752 0.449
Re 0.650 0.252 0.949
Re 0.850 0.248 0.551
Re 0.350 0.748 0.051


No. 9
A plane-wave DFT calculation with PBE-GGA was carried out for a relaxed structure of ReOsRu2.

Calculated values
The value obtained for the energy above the lowest structure with this stoichiometry is 569 meV per atom. The uncorrected energy comes out at -10.062 eV/atom. The density of states at the Fermi level is 1.149 states/eV/atom.

a b c (Å): 3.244 3.244 5.579
angles (deg): 90.00 90.00 90.00
Site moments in Bohr magnetons follow the coordinates.
Sites, in units of the cell vectors:
Re 0.500 0.500 0.754  -0.01
Os 0.000 0.000 0.496  0.19
Ru 0.000 0.000 0.011  0.48
Ru 0.500 0.500 0.239  0.61


No. 10
A plane-wave DFT calculation with PBE-GGA was carried out for a relaxed structure of ReOs2Ru.

Calculated values
The value obtained for the energy above the lowest structure with this stoichiometry is 646 meV per atom. The uncorrected energy comes out at -10.465 eV/atom. The density of states at the Fermi level is 1.309 states/eV/atom.

a b c (Å): 2.699 2.699 9.153
angles (deg): 90.00 90.00 117.38
Site moments in Bohr magnetons follow the coordinates.
Sites, in units of the cell vectors:
Os 0.500 0.500 0.251  0.12
Os 0.000 0.000 0.999  0.37
Ru 0.500 0.500 0.749  0.32
Re 0.000 0.000 0.501  -0.03


No. 11
A plane-wave DFT calculation with PBE-GGA was carried out for a relaxed structure of Re2OsRu.

Calculated values
The value obtained for the energy above the lowest structure with this stoichiometry is 132 meV per atom. The uncorrected energy comes out at -11.309 eV/atom. The density of states at the Fermi level is 0.819 states/eV/atom.

a b c (Å): 4.747 4.747 4.747
angles (deg): 131.82 131.82 70.52
Sites, in units of the cell vectors:
Ru 0.500 0.500 0.000
Re 0.000 0.000 0.000
Re 0.250 0.750 0.500
Os 0.750 0.250 0.500


No. 12
A plane-wave DFT calculation with PBE-GGA was carried out for a relaxed structure of ReOsRu2.

Calculated values
The value obtained for the energy above the lowest structure with this stoichiometry is 620 meV per atom. The uncorrected energy comes out at -10.011 eV/atom. The density of states at the Fermi level is 1.442 states/eV/atom.

a b c (Å): 4.359 4.359 4.359
angles (deg): 60.00 60.00 60.00
Site moments in Bohr magnetons follow the coordinates.
Sites, in units of the cell vectors:
Os 0.500 0.500 0.500  0.05
Re 0.750 0.750 0.750  -0.06
Ru 0.000 0.000 0.000  0.39
Ru 0.250 0.250 0.250  0.61


Question: Which of these has the highest uncorrected energy?
Answer: number 1